CeYHoTl, optimized geometry, DFT PBE; calculated volume = 111.95 Å³ per cell; magnetization = 0.175 μB per atom; E_tot = -4.812 eV per atom; D(E_F) = 7.35 states/eV per cell
1.0
5.4097 0.0000 0.0000
2.7049 4.6850 0.0000
2.7049 1.5617 4.4170
Ce Y Tl Ho
1 1 1 1
direct
0.5000 0.5000 0.5000 Ce
0.7500 0.7500 0.7500 Y
0.0000 0.0000 0.0000 Tl
0.2500 0.2500 0.2500 Ho